Here is LiZn2Ge after structural relaxation from OQMD via LeMat-Bulk. Energies are from PBE-GGA.

Cell and atoms, written as POSCAR:
```
LiZn2Ge
1.0
0.000 3.149 3.149
3.149 0.000 3.149
3.149 3.149 0.000
Li Zn Ge
1 2 1
direct
0.000 0.000 0.000
0.500 0.500 0.500
0.750 0.750 0.750
0.250 0.250 0.250
```

**Calculated volume**: 15.61 Å³/atom
**DFT total energy**: -9.34 eV/cell
**Density**: 5.6 Mg/m³